#A
{
  "formula": "HfBH3",
  "functional": "PBE-GGA",
  "state": "optimized geometry",
  "magnetic_moment_mub_per_atom": 0.00,
  "dos_at_fermi_per_ev_fu": 0.88,
  "density_g_cm3": 7.17,
  "lattice": [[3.0815, 0.4554, -0.0521], [-0.7694, 5.3021, 0.8361], [-0.0001, 0.6221, 5.4345]],
  "species": ["H", "H", "B", "H", "B", "Hf", "Hf", "H", "H", "H"],
  "frac_coords": [[0.2720, 0.8740, 0.6796], [0.2720, 0.1734, 0.2966], [0.2720, 0.6311, 0.7520], [0.7720, 0.5405, 0.4033], [0.7720, 0.5230, 0.6696], [0.7720, 0.3589, 0.1030], [0.2720, 0.7952, 0.3185], [0.7720, 0.9807, 0.1250], [0.2720, 0.6135, 0.0183], [0.7720, 0.2801, 0.7419]]
}

#B
{
  "formula": "HfBH3",
  "functional": "PBE-GGA",
  "state": "optimized geometry",
  "magnetic_moment_mub_per_atom": 0.00,
  "dos_at_fermi_per_ev_fu": 0.52,
  "density_g_cm3": 9.95,
  "lattice": [[3.1784, 0.0000, 0.0000], [0.0000, 3.1784, 0.0000], [0.0000, 0.0000, 3.1784]],
  "species": ["B", "H", "Hf", "H", "H"],
  "frac_coords": [[0.0000, 0.0000, 0.0000], [0.0000, 0.5000, 0.0000], [0.5000, 0.5000, 0.5000], [0.0000, 0.0000, 0.5000], [0.5000, 0.0000, 0.0000]]
}

Which of them is least stable? Easy: #B.

#A
{
  "formula": "HfBH",
  "functional": "PBE-GGA",
  "state": "optimized geometry",
  "magnetic_moment_mub_per_atom": 0.00,
  "dos_at_fermi_per_ev_fu": 0.43,
  "density_g_cm3": 11.09,
  "lattice": [[6.4216, 0.0000, 0.0000], [0.0000, 3.1366, 0.0000], [0.0000, 0.0000, 5.6565]],
  "species": ["Hf", "Hf", "H", "B", "Hf", "H", "B", "Hf", "H", "B", "B", "H"],
  "frac_coords": [[0.3112, 0.2500, 0.3283], [0.6888, 0.7500, 0.6717], [0.8890, 0.7500, 0.9524], [0.9936, 0.2500, 0.5652], [0.1888, 0.7500, 0.8283], [0.1110, 0.2500, 0.0476], [0.4936, 0.2500, 0.9348], [0.8112, 0.2500, 0.1717], [0.3890, 0.7500, 0.5476], [0.0064, 0.7500, 0.4348], [0.5064, 0.7500, 0.0652], [0.6110, 0.2500, 0.4524]]
}

#B
{
  "formula": "HfBH",
  "functional": "PBE-GGA",
  "state": "optimized geometry",
  "magnetic_moment_mub_per_atom": 0.00,
  "dos_at_fermi_per_ev_fu": 0.45,
  "density_g_cm3": 10.09,
  "lattice": [[-1.2339, 1.7009, 2.7565], [1.9881, -2.7509, 0.4081], [4.9719, 3.5944, 0.0077]],
  "species": ["Hf", "B", "H", "Hf", "H", "B"],
  "frac_coords": [[0.0000, 0.0000, 0.5000], [0.6647, 0.3295, 0.2500], [0.4492, 0.8984, 0.2500], [0.0000, 0.0000, 0.0000], [0.5508, 0.1016, 0.7500], [0.3353, 0.6705, 0.7500]]
}

Which of them is least stable? Easy: #B.

#A
{
  "formula": "HfB2H",
  "functional": "PBE-GGA",
  "state": "optimized geometry",
  "magnetic_moment_mub_per_atom": 0.00,
  "dos_at_fermi_per_ev_fu": 1.77,
  "density_g_cm3": 8.13,
  "lattice": [[-3.8569, -0.2244, 0.2796], [-2.2286, 2.5791, -1.8400], [-2.1035, -1.0941, -3.0631]],
  "species": ["B", "Hf", "H", "B"],
  "frac_coords": [[0.2500, 0.2500, 0.2500], [0.5000, 0.5000, 0.5000], [0.0000, 0.0000, 0.0000], [0.7500, 0.7500, 0.7500]]
}

#B
{
  "formula": "HfB2H",
  "functional": "PBE-GGA",
  "state": "optimized geometry",
  "magnetic_moment_mub_per_atom": 0.00,
  "dos_at_fermi_per_ev_fu": 0.99,
  "density_g_cm3": 9.25,
  "lattice": [[-1.0020, -3.0119, -1.2372], [3.2379, -0.7853, -0.7106], [1.7446, -4.4279, 4.6763]],
  "species": ["B", "Hf", "H", "Hf", "B", "B", "B", "H"],
  "frac_coords": [[0.3750, 0.6250, 0.2500], [0.0000, 0.0000, 0.0000], [0.5000, 0.5000, 0.0000], [0.7500, 0.2500, 0.5000], [0.8750, 0.6250, 0.7500], [0.3750, 0.1250, 0.2500], [0.3750, 0.6250, 0.7500], [0.2500, 0.7500, 0.5000]]
}

#C
{
  "formula": "HfB2H",
  "functional": "PBE-GGA",
  "state": "optimized geometry",
  "magnetic_moment_mub_per_atom": 0.00,
  "dos_at_fermi_per_ev_fu": 1.59,
  "density_g_cm3": 9.27,
  "lattice": [[-0.7828, -0.6054, -3.0828], [0.1127, -3.0158, 0.5636], [-6.7235, 0.3034, 2.9682]],
  "species": ["B", "Hf", "B", "H", "Hf", "B", "B", "H"],
  "frac_coords": [[0.6283, 0.2500, 0.0778], [0.1795, 0.2500, 0.3257], [0.3717, 0.7500, 0.9222], [0.6826, 0.7500, 0.3922], [0.8205, 0.7500, 0.6743], [0.8975, 0.7500, 0.0523], [0.1025, 0.2500, 0.9477], [0.3174, 0.2500, 0.6078]]
}

Which of them is least stable? Easy: #A.

#A
{
  "formula": "HfB3H",
  "functional": "PBE-GGA",
  "state": "optimized geometry",
  "magnetic_moment_mub_per_atom": 0.04,
  "dos_at_fermi_per_ev_fu": 4.25,
  "density_g_cm3": 3.66,
  "lattice": [[-0.1933, -4.4413, 1.0998], [4.5445, -0.0584, 0.5627], [-0.5317, 1.1151, 4.4098]],
  "species": ["B", "B", "Hf", "B", "H"],
  "frac_coords": [[0.0000, 0.0000, 0.5000], [0.5000, 0.0000, 0.0000], [0.0000, 0.0000, 0.0000], [0.0000, 0.5000, 0.0000], [0.5000, 0.5000, 0.5000]]
}

#B
{
  "formula": "HfB3H",
  "functional": "PBE-GGA",
  "state": "optimized geometry",
  "magnetic_moment_mub_per_atom": 0.00,
  "dos_at_fermi_per_ev_fu": 1.09,
  "density_g_cm3": 8.38,
  "lattice": [[-1.5907, 1.7214, 2.5666], [0.3831, -2.7545, 2.0849], [3.0666, 1.2371, 1.0709]],
  "species": ["H", "B", "B", "Hf", "B"],
  "frac_coords": [[0.0000, 0.0000, 0.0000], [0.0000, 0.5000, 0.0000], [0.5000, 0.0000, 0.0000], [0.5000, 0.5000, 0.5000], [0.0000, 0.0000, 0.5000]]
}

Which of them is least stable? Easy: #A.

#A
{
  "formula": "HfBH2",
  "functional": "PBE-GGA",
  "state": "optimized geometry",
  "magnetic_moment_mub_per_atom": 0.00,
  "dos_at_fermi_per_ev_fu": 1.06,
  "density_g_cm3": 10.44,
  "lattice": [[0.2109, -2.4272, 2.5192], [-0.7059, 0.8582, 3.3237], [-2.9170, -1.1900, 1.5354]],
  "species": ["H", "Hf", "B", "H"],
  "frac_coords": [[0.7500, 0.7500, 0.7500], [0.5000, 0.5000, 0.5000], [0.0000, 0.0000, 0.0000], [0.2500, 0.2500, 0.2500]]
}

#B
{
  "formula": "HfBH2",
  "functional": "PBE-GGA",
  "state": "optimized geometry",
  "magnetic_moment_mub_per_atom": 0.00,
  "dos_at_fermi_per_ev_fu": 1.78,
  "density_g_cm3": 9.76,
  "lattice": [[3.4531, 0.0000, 0.0000], [0.0000, 3.4531, 0.0000], [1.7266, 1.7266, 5.4574]],
  "species": ["H", "H", "H", "B", "Hf", "Hf", "H", "B"],
  "frac_coords": [[0.3671, 0.6250, 0.2500], [0.3750, 0.6171, 0.7500], [0.8750, 0.6329, 0.7500], [0.2500, 0.7500, 0.5000], [0.7500, 0.2500, 0.5000], [0.0000, 0.0000, 0.0000], [0.3829, 0.1250, 0.2500], [0.5000, 0.5000, 0.0000]]
}

Which of them is least stable? Easy: #B.

#A
{
  "formula": "HgB3H",
  "functional": "PBE-GGA",
  "state": "optimized geometry",
  "magnetic_moment_mub_per_atom": 0.00,
  "dos_at_fermi_per_ev_fu": 3.19,
  "density_g_cm3": 4.53,
  "lattice": [[-1.4360, -1.6410, 3.8335], [3.8487, 1.0388, 1.8864], [-1.6049, 3.9596, 1.0938]],
  "species": ["B", "B", "B", "H", "Hg"],
  "frac_coords": [[0.0000, 0.0000, 0.5000], [0.0000, 0.5000, 0.0000], [0.5000, 0.0000, 0.0000], [0.5000, 0.5000, 0.5000], [0.0000, 0.0000, 0.0000]]
}

#B
{
  "formula": "HgB3H",
  "functional": "PBE-GGA",
  "state": "optimized geometry",
  "magnetic_moment_mub_per_atom": 0.00,
  "dos_at_fermi_per_ev_fu": 1.59,
  "density_g_cm3": 7.85,
  "lattice": [[-3.5463, 0.5638, 0.7676], [0.5276, -1.3012, 3.3929], [0.7929, 3.3871, 1.1757]],
  "species": ["B", "B", "B", "Hg", "H"],
  "frac_coords": [[0.0000, 0.0000, 0.5000], [0.5000, 0.0000, 0.0000], [0.0000, 0.5000, 0.0000], [0.5000, 0.5000, 0.5000], [0.0000, 0.0000, 0.0000]]
}

Which of them is least stable? Easy: #A.